(A)
Material: Lu2MnHg
Method: DFT, PBE
State: relaxed

Values from the calculation:
Total magnetization, μB per atom: 0.791
Calculated volume, Å³ per cell: 90.7

Cell: 5.0426 5.0426 5.0426 Å, 60.00 60.00 60.00°
Last column: nearest neighbours and their distance in Å.
Atoms (fractional coordinates):
Lu 0.2500 0.2500 0.2500  4 Mn 3.09, 4 Hg 3.09
Lu 0.7500 0.7500 0.7500  4 Hg 3.09, 4 Mn 3.09
Hg 0.0000 0.0000 0.0000  8 Lu 3.09
Mn 0.5000 0.5000 0.5000  8 Lu 3.09


(B)
Material: Lu2MnHg
Method: DFT, PBE
State: relaxed

Values from the calculation:
Total magnetization, μB per atom: 0.645
Calculated volume, Å³ per cell: 88.8

Cell: 3.4431 3.4431 7.4909 Å, 90.00 90.00 90.00°
Last column: nearest neighbours and their distance in Å.
Atoms (fractional coordinates):
Lu 0.0000 0.0000 0.7724  4 Mn 2.97, 4 Hg 3.18
Lu 0.0000 0.0000 0.2276  4 Mn 2.97, 4 Hg 3.18
Hg 0.5000 0.5000 0.5000  8 Lu 3.18, 4 Hg 3.44
Mn 0.5000 0.5000 0.0000  8 Lu 2.97


Which of them is most stable, and which least? Most stable: (B); least stable: (A).


(A)
Material: LuMnHg2
Method: DFT, PBE
State: relaxed

Values from the calculation:
Total magnetization, μB per atom: 0.978
Calculated volume, Å³ per cell: 84.9

Cell: 3.4902 3.4902 6.9699 Å, 90.00 90.00 90.00°
Last column: nearest neighbours and their distance in Å.
Atoms (fractional coordinates):
Lu 0.5000 0.5000 0.5000  8 Hg 3.12, 2 Mn 3.48, 4 Lu 3.49
Hg 0.0000 0.0000 0.7746  4 Mn 2.93, 4 Lu 3.12, 1 Hg 3.14
Hg 0.0000 0.0000 0.2254  4 Mn 2.93, 4 Lu 3.12, 1 Hg 3.14
Mn 0.5000 0.5000 0.0000  8 Hg 2.93


(B)
Material: LuMnHg2
Method: DFT, PBE
State: relaxed

Values from the calculation:
Total magnetization, μB per atom: 1.031
Calculated volume, Å³ per cell: 84.8

Cell: 4.9310 4.9310 4.9310 Å, 60.00 60.00 60.00°
Last column: nearest neighbours and their distance in Å.
Atoms (fractional coordinates):
Lu 0.0000 0.0000 0.0000  8 Hg 3.02
Hg 0.2500 0.2500 0.2500  4 Mn 3.02, 4 Lu 3.02
Hg 0.7500 0.7500 0.7500  4 Mn 3.02, 4 Lu 3.02
Mn 0.5000 0.5000 0.5000  8 Hg 3.02


Which of them is most stable, and which least? Most stable: (B); least stable: (A).


(A)
Material: NdLu2Hg
Method: DFT, PBE
State: relaxed

Values from the calculation:
Total magnetization, μB per atom: 0.000
Calculated volume, Å³ per cell: 116.3

Cell: 3.5808 3.5808 10.6732 Å, 80.34 80.34 60.00°
Last column: nearest neighbours and their distance in Å.
Atoms (fractional coordinates):
Lu 0.2588 0.2588 0.2235  3 Hg 3.12
Lu 0.7412 0.7412 0.7765  3 Hg 3.12
Nd 0.5000 0.5000 0.5000  6 Lu 3.56, 6 Nd 3.58
Hg 0.0000 0.0000 0.0000  6 Lu 3.12


(B)
Material: NdLu2Hg
Method: DFT, PBE
State: relaxed

Values from the calculation:
Total magnetization, μB per atom: 0.000
Calculated volume, Å³ per cell: 113.8

Cell: 3.5773 3.5773 8.8905 Å, 90.00 90.00 90.00°
Last column: nearest neighbours and their distance in Å.
Atoms (fractional coordinates):
Lu 0.0000 0.0000 0.7857  4 Hg 3.17
Lu 0.0000 0.0000 0.2143  4 Hg 3.17
Nd 0.5000 0.5000 0.5000  4 Nd 3.58, 8 Lu 3.58
Hg 0.5000 0.5000 0.0000  8 Lu 3.17


(C)
Material: NdLu2Hg
Method: DFT, PBE
State: relaxed

Values from the calculation:
Total magnetization, μB per atom: 0.144
Calculated volume, Å³ per cell: 110.6

Cell: 4.7728 4.8135 4.8135 Å, 90.00 90.00 90.00°
Last column: nearest neighbours and their distance in Å.
Atoms (fractional coordinates):
Lu 0.0000 0.0000 0.5000  4 Hg 3.39, 4 Nd 3.39, 4 Lu 3.40
Lu 0.0000 0.5000 0.0000  4 Hg 3.39, 4 Nd 3.39, 4 Lu 3.40
Nd 0.5000 0.5000 0.5000  8 Lu 3.39, 4 Hg 3.40
Hg 0.5000 0.0000 0.0000  8 Lu 3.39, 4 Nd 3.40


Which of them is most stable, and which least? Most stable: (B); least stable: (C).


(A)
Material: Pr2LuHg
Method: DFT, PBE
State: relaxed

Values from the calculation:
Total magnetization, μB per atom: 0.000
Calculated volume, Å³ per cell: 128.3

Cell: 3.5102 3.5102 12.1925 Å, 81.72 81.72 60.00°
Last column: nearest neighbours and their distance in Å.
Atoms (fractional coordinates):
Pr 0.0939 0.0939 0.7184  3 Hg 3.32, 1 Lu 3.39, 6 Pr 3.51
Pr 0.9061 0.9061 0.2816  3 Hg 3.32, 1 Lu 3.39, 6 Pr 3.51
Lu 0.0000 0.0000 0.0000  2 Pr 3.39, 6 Lu 3.51
Hg 0.5000 0.5000 0.5000  6 Pr 3.32, 6 Hg 3.51


(B)
Material: Pr2LuHg
Method: DFT, PBE
State: relaxed

Values from the calculation:
Total magnetization, μB per atom: 0.000
Calculated volume, Å³ per cell: 124.1

Cell: 3.7427 3.7427 8.8589 Å, 90.00 90.00 90.00°
Last column: nearest neighbours and their distance in Å.
Atoms (fractional coordinates):
Pr 0.0000 0.0000 0.7705  4 Hg 3.34, 4 Lu 3.57
Pr 0.0000 0.0000 0.2295  4 Hg 3.34, 4 Lu 3.57
Lu 0.5000 0.5000 0.5000  8 Pr 3.57, 4 Lu 3.74
Hg 0.5000 0.5000 0.0000  8 Pr 3.34


Which of them is most stable, and which least? Most stable: (B); least stable: (A).


(A)
Material: PrLu2Hg
Method: DFT, PBE
State: relaxed

Values from the calculation:
Total magnetization, μB per atom: 0.000
Calculated volume, Å³ per cell: 114.6

Cell: 3.5901 3.5901 8.8903 Å, 90.00 90.00 90.00°
Last column: nearest neighbours and their distance in Å.
Atoms (fractional coordinates):
Pr 0.5000 0.5000 0.5000  4 Pr 3.59, 8 Lu 3.60
Lu 0.0000 0.0000 0.7873  4 Hg 3.17
Lu 0.0000 0.0000 0.2127  4 Hg 3.17
Hg 0.5000 0.5000 0.0000  8 Lu 3.17


(B)
Material: PrLu2Hg
Method: DFT, PBE
State: relaxed

Values from the calculation:
Total magnetization, μB per atom: 0.144
Calculated volume, Å³ per cell: 111.6

Cell: 4.7888 4.8273 4.8273 Å, 90.00 90.00 90.00°
Last column: nearest neighbours and their distance in Å.
Atoms (fractional coordinates):
Pr 0.5000 0.5000 0.5000  8 Lu 3.40, 4 Hg 3.41
Lu 0.0000 0.0000 0.5000  4 Pr 3.40, 4 Hg 3.40, 4 Lu 3.41
Lu 0.0000 0.5000 0.0000  4 Pr 3.40, 4 Hg 3.40, 4 Lu 3.41
Hg 0.5000 0.0000 0.0000  8 Lu 3.40, 4 Pr 3.41


Which of them is most stable, and which least? Most stable: (A); least stable: (B).


(A)
Material: Lu2HgPt
Method: DFT, PBE
State: relaxed

Values from the calculation:
Total magnetization, μB per atom: 0.000
Calculated volume, Å³ per cell: 88.9

Cell: 3.4839 3.4839 7.3256 Å, 90.00 90.00 90.00°
Last column: nearest neighbours and their distance in Å.
Atoms (fractional coordinates):
Lu 0.0000 0.0000 0.7769  4 Pt 2.96, 4 Hg 3.19, 1 Lu 3.27
Lu 0.0000 0.0000 0.2231  4 Pt 2.96, 4 Hg 3.19, 1 Lu 3.27
Hg 0.5000 0.5000 0.5000  8 Lu 3.19, 4 Hg 3.48
Pt 0.5000 0.5000 0.0000  8 Lu 2.96


(B)
Material: Lu2HgPt
Method: DFT, PBE
State: relaxed

Values from the calculation:
Total magnetization, μB per atom: 0.000
Calculated volume, Å³ per cell: 101.8

Cell: 3.9974 3.9974 7.7084 Å, 74.97 74.97 60.00°
Last column: nearest neighbours and their distance in Å.
Atoms (fractional coordinates):
Lu 0.2641 0.2641 0.2077  3 Pt 2.77
Lu 0.7359 0.7359 0.7923  3 Pt 2.77
Hg 0.5000 0.5000 0.5000  6 Lu 3.15
Pt 0.0000 0.0000 0.0000  6 Lu 2.77


(C)
Material: Lu2HgPt
Method: DFT, PBE
State: relaxed

Values from the calculation:
Total magnetization, μB per atom: 0.000
Calculated volume, Å³ per cell: 87.7

Cell: 4.9876 4.9876 4.9876 Å, 60.00 60.00 60.00°
Last column: nearest neighbours and their distance in Å.
Atoms (fractional coordinates):
Lu 0.2500 0.2500 0.2500  4 Pt 3.05, 4 Hg 3.05
Lu 0.7500 0.7500 0.7500  4 Hg 3.05, 4 Pt 3.05
Hg 0.0000 0.0000 0.0000  8 Lu 3.05
Pt 0.5000 0.5000 0.5000  8 Lu 3.05


Which of them is most stable, and which least? Most stable: (A); least stable: (B).


(A)
Material: LuHgPt2
Method: DFT, PBE
State: relaxed

Values from the calculation:
Total magnetization, μB per atom: 0.000
Calculated volume, Å³ per cell: 76.0

Cell: 4.7551 4.7551 4.7551 Å, 60.00 60.00 60.00°
Last column: nearest neighbours and their distance in Å.
Atoms (fractional coordinates):
Lu 0.5000 0.5000 0.5000  8 Pt 2.91
Hg 0.0000 0.0000 0.0000  8 Pt 2.91
Pt 0.2500 0.2500 0.2500  4 Hg 2.91, 4 Lu 2.91
Pt 0.7500 0.7500 0.7500  4 Hg 2.91, 4 Lu 2.91


(B)
Material: LuHgPt2
Method: DFT, PBE
State: relaxed

Values from the calculation:
Total magnetization, μB per atom: 0.000
Calculated volume, Å³ per cell: 76.1

Cell: 3.5798 3.5798 5.9347 Å, 90.00 90.00 90.00°
Last column: nearest neighbours and their distance in Å.
Atoms (fractional coordinates):
Lu 0.5000 0.5000 0.0000  8 Pt 2.93, 2 Hg 2.97
Hg 0.5000 0.5000 0.5000  8 Pt 2.94, 2 Lu 2.97
Pt 0.0000 0.0000 0.7513  4 Lu 2.93, 4 Hg 2.94, 2 Pt 2.95-2.98
Pt 0.0000 0.0000 0.2487  4 Lu 2.93, 4 Hg 2.94, 2 Pt 2.95-2.98


Which of them is most stable, and which least? Most stable: (B); least stable: (A).